[1]
GGA-PBEsol Te2PICl, relaxed; E_form (uncorrected) = 554 kJ/mol of formula units; M_tot = 1.40 μB per formula unit; DFT total energy = -2.17 eV/atom; space group = No. 123
1.0
-1.795 2.690 4.419
-5.001 -1.057 -1.388
0.171 -4.491 2.803
P I Cl Te
1 1 1 2
Cartesian
-3.313 -1.429 2.917
-0.898 1.345 2.209
0.000 0.000 0.000
0.085 -2.245 1.402
-2.500 -0.528 -0.694

=====

[2]
GGA-PBEsol BaCaTc2, relaxed; M_tot = 0.00 μB per formula unit; ΔE_f = 0.665 eV/atom; polymorph energy (0 for the lowest one) = 0.2561 eV per atom; DFT total energy = -6.04 eV/atom; space group = No. 12
1.0
-0.703 3.098 2.113
-5.597 0.317 1.118
-1.281 -2.052 6.026
Tc Ba Ca
2 1 1
Cartesian
-6.080 -0.190 5.145
-1.501 1.553 4.112
-0.351 1.549 1.056
-3.439 -0.867 3.572